{
  "formula": "LaSm2Y5",
  "functional": "PBE-GGA",
  "state": "relaxed",
  "lattice_angstrom": [[7.2095, 0.0000, 0.0000], [0.0000, 20.3129, 0.0000], [0.0000, 0.0000, 7.2339]],
  "species": ["La", "La", "La", "La", "Sm", "Sm", "Sm", "Sm", "Sm", "Sm", "Sm", "Sm", "Y", "Y", "Y", "Y", "Y", "Y", "Y", "Y", "Y", "Y", "Y", "Y", "Y", "Y", "Y", "Y", "Y", "Y", "Y", "Y"],
  "fractional_positions": [[0.2500, 0.1254, 0.0000], [0.2500, 0.6254, 0.0000], [0.7500, 0.3746, 0.0000], [0.7500, 0.8746, 0.0000], [0.0000, 0.0000, 0.2518], [0.0000, 0.0000, 0.7482], [0.2489, 0.6255, 0.5000], [0.2511, 0.1255, 0.5000], [0.5000, 0.5000, 0.2518], [0.5000, 0.5000, 0.7482], [0.7489, 0.8745, 0.5000], [0.7511, 0.3745, 0.5000], [0.0000, 0.5000, 0.2519], [0.0000, 0.5000, 0.7481], [0.0021, 0.2504, 0.2519], [0.0021, 0.2504, 0.7481], [0.2476, 0.8748, 0.0000], [0.2478, 0.8748, 0.5000], [0.2524, 0.3748, 0.0000], [0.2522, 0.3748, 0.5000], [0.4979, 0.7504, 0.2519], [0.4979, 0.7504, 0.7481], [0.5000, 0.0000, 0.2519], [0.5000, 0.0000, 0.7481], [0.5021, 0.2496, 0.2519], [0.5021, 0.2496, 0.7481], [0.7476, 0.6252, 0.0000], [0.7478, 0.6252, 0.5000], [0.7524, 0.1252, 0.0000], [0.7522, 0.1252, 0.5000], [0.9979, 0.7496, 0.2519], [0.9979, 0.7496, 0.7481]],
  "formation_energy_mev_per_atom": 16,
  "magmom_total_mub_per_fu": 0.00
}

---

{
  "formula": "Te2Au",
  "functional": "PBE-GGA",
  "state": "relaxed",
  "lattice_angstrom": [[7.6914, 0.0000, 0.0000], [-3.8457, 6.6609, 0.0000], [0.0000, 0.0000, 7.0021]],
  "species": ["Te", "Te", "Te", "Te", "Te", "Te", "Te", "Te", "Au", "Au", "Au", "Au"],
  "fractional_positions": [[0.0000, 0.0000, 0.0000], [0.0000, 0.0000, 0.5000], [0.1883, 0.3765, 0.2500], [0.1883, 0.8117, 0.2500], [0.3765, 0.1883, 0.7500], [0.6235, 0.8117, 0.2500], [0.8117, 0.1883, 0.7500], [0.8117, 0.6235, 0.7500], [0.3333, 0.6667, 0.5598], [0.3333, 0.6667, 0.9402], [0.6667, 0.3333, 0.0598], [0.6667, 0.3333, 0.4402]],
  "e_form_raw_ev_per_atom": 0.360,
  "magmom_total_mub_per_fu": 0.00
}

---

{
  "formula": "Dy2MgCo",
  "functional": "PBE-GGA",
  "state": "relaxed",
  "lattice_angstrom": [[3.3993, 0.0000, 0.0000], [0.0000, 3.3993, 0.0000], [0.0000, 0.0000, 8.0694]],
  "species": ["Dy", "Dy", "Mg", "Co"],
  "fractional_positions": [[0.0000, 0.0000, 0.2008], [0.0000, 0.0000, 0.7992], [0.5000, 0.5000, 0.5000], [0.5000, 0.5000, 0.0000]],
  "formation_energy_mev_per_atom": -137,
  "magmom_total_mub_per_fu": 0.79
}

---

{
  "formula": "La3Si2Br",
  "functional": "PBE-GGA",
  "state": "relaxed",
  "lattice_angstrom": [[2.2928, -7.7284, 0.0000], [2.2928, 7.7284, 0.0000], [0.0000, 0.0000, 9.7030]],
  "species": ["La", "La", "La", "La", "La", "La", "Si", "Si", "Si", "Si", "Br", "Br"],
  "fractional_positions": [[0.1243, 0.8757, 0.5449], [0.1243, 0.8757, 0.9551], [0.3751, 0.6249, 0.7500], [0.6249, 0.3751, 0.2500], [0.8757, 0.1243, 0.0449], [0.8757, 0.1243, 0.4551], [0.0125, 0.9875, 0.2500], [0.5000, 0.5000, 0.0000], [0.5000, 0.5000, 0.5000], [0.9875, 0.0125, 0.7500], [0.2762, 0.7238, 0.2500], [0.7238, 0.2762, 0.7500]],
  "e_form_raw_ev_per_atom": -0.640,
  "magmom_total_mub_per_fu": 1.00
}

---

{
  "formula": "Ac2SnSe5",
  "functional": "PBE-GGA",
  "state": "relaxed",
  "lattice_angstrom": [[8.4589, 0.0000, 0.0000], [0.0000, 12.1482, 0.0000], [0.0000, 0.0000, 4.3425]],
  "species": ["Ac", "Ac", "Ac", "Ac", "Sn", "Sn", "Se", "Se", "Se", "Se", "Se", "Se", "Se", "Se", "Se", "Se"],
  "fractional_positions": [[0.0823, 0.1708, 0.0000], [0.4177, 0.6708, 0.0000], [0.5823, 0.3292, 0.0000], [0.9177, 0.8292, 0.0000], [0.0000, 0.5000, 0.5000], [0.5000, 0.0000, 0.5000], [0.0000, 0.0000, 0.5000], [0.1384, 0.7057, 0.5000], [0.1948, 0.4368, 0.0000], [0.3052, 0.9368, 0.0000], [0.3616, 0.2057, 0.5000], [0.5000, 0.5000, 0.5000], [0.6384, 0.7943, 0.5000], [0.6948, 0.0632, 0.0000], [0.8052, 0.5632, 0.0000], [0.8616, 0.2943, 0.5000]],
  "e_form_raw_ev_per_atom": -1.427,
  "magmom_total_mub_per_fu": 0.00
}

---

{
  "formula": "RbLi2HfI8",
  "functional": "PBE-GGA",
  "state": "relaxed",
  "lattice_angstrom": [[6.6462, 0.0000, 0.0000], [-0.2067, 7.3398, 0.0000], [-0.0535, -0.0074, 10.0889]],
  "species": ["Rb", "Li", "Li", "Hf", "I", "I", "I", "I", "I", "I", "I", "I"],
  "fractional_positions": [[0.0000, 0.0000, 0.0000], [0.4996, 0.4995, 0.2841], [0.5004, 0.5005, 0.7159], [0.0000, 0.0000, 0.5000], [0.2420, 0.8444, 0.3015], [0.2442, 0.8454, 0.6996], [0.2504, 0.3292, 0.4998], [0.2520, 0.4772, 0.0004], [0.7480, 0.5228, 0.9996], [0.7496, 0.6708, 0.5002], [0.7558, 0.1546, 0.3004], [0.7580, 0.1556, 0.6985]],
  "e_form_raw_ev_per_atom": -0.948,
  "magmom_total_mub_per_fu": 0.00
}

---

{
  "formula": "MgZrRhAu2",
  "functional": "PBE-GGA",
  "state": "relaxed",
  "lattice_angstrom": [[4.7013, 0.0000, 0.0000], [0.0000, 4.7013, 0.0000], [0.0000, 0.0000, 4.6080]],
  "species": ["Mg", "Zr", "Rh", "Au", "Au"],
  "fractional_positions": [[0.0000, 0.0000, 0.0000], [0.5000, 0.5000, 0.5000], [0.0000, 0.0000, 0.5000], [0.0000, 0.5000, 0.0000], [0.5000, 0.0000, 0.0000]],
  "formation_energy_mev_per_atom": 393,
  "magmom_total_mub_per_fu": 0.00
}

---

{
  "formula": "Rb2Cd3",
  "functional": "PBE-GGA",
  "state": "relaxed",
  "lattice_angstrom": [[3.1390, -6.5479, 0.0000], [3.1390, 6.5479, 0.0000], [0.0000, 0.0000, 9.6589]],
  "species": ["Rb", "Rb", "Rb", "Rb", "Cd", "Cd", "Cd", "Cd", "Cd", "Cd"],
  "fractional_positions": [[0.1671, 0.8329, 0.9017], [0.3329, 0.6671, 0.4017], [0.6671, 0.3329, 0.5983], [0.8329, 0.1671, 0.0983], [0.0000, 0.0000, 0.5000], [0.1722, 0.3278, 0.7500], [0.3278, 0.1722, 0.2500], [0.5000, 0.5000, 0.0000], [0.6722, 0.8278, 0.7500], [0.8278, 0.6722, 0.2500]],
  "formation_energy_mev_per_atom": -59,
  "magmom_total_mub_per_fu": 0.00
}